(1)
# YNi3 | the Alexandria database | PBE | relaxed
data_YNi3
_chemical_formula_sum 'Y1 Ni3'
_space_group_name_H-M_alt 'P 1 2/m 1'
_space_group_IT_number 10
_cell_length_a 3.7289
_cell_length_b 4.0240
_cell_length_c 4.5394
_cell_angle_alpha 90.00
_cell_angle_beta 95.19
_cell_angle_gamma 90.00
loop_
_space_group_symop_operation_xyz
'x,y,z'
'-x,-y,-z'
'-x,y,-z'
'x,-y,z'
loop_
_atom_site_label
_atom_site_type_symbol
_atom_site_fract_x
_atom_site_fract_y
_atom_site_fract_z
Y1 Y 0.0000 0.0000 0.0000
Ni1 Ni 0.4494 0.5000 0.7495
Ni2 Ni 0.5000 0.0000 0.5000
# E_form: -0.06 eV/atom

***

(2)
# Y2NbFeRu | the Alexandria database | PBE | relaxed
data_Y2NbFeRu
_chemical_formula_sum 'Y2 Nb1 Fe1 Ru1'
_space_group_name_H-M_alt 'P 4/m m m'
_space_group_IT_number 123
_space_group_name_Hall '-P 4 2'
_cell_length_a 5.3673
_cell_length_b 5.3673
_cell_length_c 4.5816
_cell_angle_alpha 90.00
_cell_angle_beta 90.00
_cell_angle_gamma 90.00
loop_
_atom_site_label
_atom_site_type_symbol
_atom_site_fract_x
_atom_site_fract_y
_atom_site_fract_z
Y1 Y 0.0000 0.5000 0.0000
Nb1 Nb 0.0000 0.0000 0.0000
Fe1 Fe 0.5000 0.5000 0.5000
Ru1 Ru 0.0000 0.0000 0.5000
# E_form: 1.38 eV/atom

***

(3)
# CeTm2Si4 | the Alexandria database | PBE | relaxed
data_CeTm2Si4
_chemical_formula_sum 'Ce2 Tm4 Si8'
_space_group_name_H-M_alt 'I m m m'
_space_group_IT_number 71
_space_group_name_Hall '-I 2 2'
_cell_length_a 3.8807
_cell_length_b 4.2197
_cell_length_c 17.3632
_cell_angle_alpha 90.00
_cell_angle_beta 90.00
_cell_angle_gamma 90.00
loop_
_atom_site_label
_atom_site_type_symbol
_atom_site_fract_x
_atom_site_fract_y
_atom_site_fract_z
Ce1 Ce 0.0000 0.0000 0.0000
Tm1 Tm 0.0000 0.5000 0.3165
Si1 Si 0.0000 0.0000 0.4333
Si2 Si 0.0000 0.5000 0.1501
# Raw formation energy: -0.76 eV per atom

***

(4)
# Ge3BiIr | the Alexandria database | PBE | relaxed
data_Ge3BiIr
_chemical_formula_sum 'Ge3 Bi1 Ir1'
_space_group_name_H-M_alt 'P m -3 m'
_space_group_IT_number 221
_space_group_name_Hall '-P 4 2 3'
_cell_length_a 4.8839
_cell_length_b 4.8839
_cell_length_c 4.8839
_cell_angle_alpha 90.00
_cell_angle_beta 90.00
_cell_angle_gamma 90.00
loop_
_atom_site_label
_atom_site_type_symbol
_atom_site_fract_x
_atom_site_fract_y
_atom_site_fract_z
Ge1 Ge 0.0000 0.0000 0.5000
Bi1 Bi 0.5000 0.5000 0.5000
Ir1 Ir 0.0000 0.0000 0.0000
# E_form: 0.19 eV/atom
# Relative energy among the computed polymorphs: 0 meV/atom

***

(5)
# K2MgNi | the Alexandria database | PBE | relaxed
data_K2MgNi
_chemical_formula_sum 'K2 Mg1 Ni1'
_space_group_name_H-M_alt 'P 1 2/m 1'
_space_group_IT_number 10
_cell_length_a 3.5097
_cell_length_b 3.4634
_cell_length_c 10.6249
_cell_angle_alpha 90.00
_cell_angle_beta 90.16
_cell_angle_gamma 90.00
loop_
_space_group_symop_operation_xyz
'x,y,z'
'-x,-y,-z'
'-x,y,-z'
'x,-y,z'
loop_
_atom_site_label
_atom_site_type_symbol
_atom_site_fract_x
_atom_site_fract_y
_atom_site_fract_z
K1 K 0.0004 0.0000 0.2003
Mg1 Mg 0.5000 0.5000 0.5000
Ni1 Ni 0.5000 0.5000 0.0000
# E_form: 0.63 eV/atom

***

(6)
# MgTlP2 | the Alexandria database | PBE | relaxed
data_MgTlP2
_chemical_formula_sum 'Mg2 Tl2 P4'
_space_group_name_H-M_alt 'I m m 2'
_space_group_IT_number 44
_cell_length_a 3.3375
_cell_length_b 4.2211
_cell_length_c 12.8101
_cell_angle_alpha 90.00
_cell_angle_beta 90.00
_cell_angle_gamma 90.00
loop_
_space_group_symop_operation_xyz
'x,y,z'
'-x,-y,z'
'-x,y,z'
'x,-y,z'
'x+1/2,y+1/2,z+1/2'
'-x+1/2,-y+1/2,z+1/2'
'-x+1/2,y+1/2,z+1/2'
'x+1/2,-y+1/2,z+1/2'
loop_
_atom_site_label
_atom_site_type_symbol
_atom_site_fract_x
_atom_site_fract_y
_atom_site_fract_z
Mg1 Mg 0.0000 0.0000 0.0000
Tl1 Tl 0.0000 0.5000 0.2294
P1 P 0.0000 0.0000 0.4967
P2 P 0.0000 0.5000 0.8654
# E_form: -0.02 eV/atom
# Relative energy among the computed polymorphs: 90 meV/atom

***

(7)
# LaInMo2 | the Alexandria database | PBE | relaxed
data_LaInMo2
_chemical_formula_sum 'La3 In3 Mo6'
_space_group_name_H-M_alt 'R 3 m'
_space_group_IT_number 160
_space_group_name_Hall 'R 3 -2"'
_cell_length_a 3.2117
_cell_length_b 3.2117
_cell_length_c 29.0598
_cell_angle_alpha 90.00
_cell_angle_beta 90.00
_cell_angle_gamma 120.00
loop_
_atom_site_label
_atom_site_type_symbol
_atom_site_fract_x
_atom_site_fract_y
_atom_site_fract_z
La1 La 0.0000 0.0000 0.0000
In1 In 0.0000 0.0000 0.2315
Mo1 Mo 0.0000 0.0000 0.4821
Mo2 Mo 0.0000 0.0000 0.7541
# E_form: 0.35 eV/atom

***

(8)
# Pm5PrTm3 | the Alexandria database | PBE | relaxed
data_Pm5PrTm3
_chemical_formula_sum 'Pm20 Pr4 Tm12'
_space_group_name_H-M_alt 'C m c m'
_space_group_IT_number 63
_space_group_name_Hall '-C 2c 2'
_cell_length_a 17.5691
_cell_length_b 9.3619
_cell_length_c 7.2872
_cell_angle_alpha 90.00
_cell_angle_beta 90.00
_cell_angle_gamma 90.00
loop_
_atom_site_label
_atom_site_type_symbol
_atom_site_fract_x
_atom_site_fract_y
_atom_site_fract_z
Pm1 Pm 0.0000 0.1653 0.2500
Pm2 Pm 0.1655 0.1766 0.5010
Pr1 Pr 0.0000 0.2011 0.7500
Tm1 Tm 0.0000 0.5000 0.0000
Tm2 Tm 0.1769 0.4999 0.2500
# E_form: 0.13 eV/atom
# Relative energy among the computed polymorphs: 0 meV/atom

***

(9)
# GaFe3Os | the Alexandria database | PBE | relaxed
data_GaFe3Os
_chemical_formula_sum 'Ga1 Fe3 Os1'
_space_group_name_H-M_alt 'P m -3 m'
_space_group_IT_number 221
_space_group_name_Hall '-P 4 2 3'
_cell_length_a 4.7511
_cell_length_b 4.7511
_cell_length_c 4.7511
_cell_angle_alpha 90.00
_cell_angle_beta 90.00
_cell_angle_gamma 90.00
loop_
_atom_site_label
_atom_site_type_symbol
_atom_site_fract_x
_atom_site_fract_y
_atom_site_fract_z
Ga1 Ga 0.0000 0.0000 0.0000
Fe1 Fe 0.0000 0.5000 0.5000
Os1 Os 0.5000 0.5000 0.5000
# E_form: 1.40 eV/atom
# Relative energy among the computed polymorphs: 0 meV/atom

***

(10)
# TeRh2Au | the Alexandria database | PBE | relaxed
data_TeRh2Au
_chemical_formula_sum 'Te3 Rh6 Au3'
_space_group_name_H-M_alt 'R -3 m'
_space_group_IT_number 166
_space_group_name_Hall '-R 3 2"'
_cell_length_a 3.3806
_cell_length_b 3.3806
_cell_length_c 22.3943
_cell_angle_alpha 90.00
_cell_angle_beta 90.00
_cell_angle_gamma 120.00
loop_
_atom_site_label
_atom_site_type_symbol
_atom_site_fract_x
_atom_site_fract_y
_atom_site_fract_z
Te1 Te 0.0000 0.0000 0.0000
Rh1 Rh 0.0000 0.0000 0.2553
Au1 Au 0.0000 0.0000 0.5000
# Raw formation energy: 0.11 eV per atom

***

(11)
# Ru3Rh4 | the Alexandria database | PBE | relaxed
data_Ru3Rh4
_chemical_formula_sum 'Ru3 Rh4'
_space_group_name_H-M_alt 'P 6/m m m'
_space_group_IT_number 191
_space_group_name_Hall '-P 6 2'
_cell_length_a 4.9787
_cell_length_b 4.9787
_cell_length_c 4.8266
_cell_angle_alpha 90.00
_cell_angle_beta 90.00
_cell_angle_gamma 120.00
loop_
_atom_site_label
_atom_site_type_symbol
_atom_site_fract_x
_atom_site_fract_y
_atom_site_fract_z
Ru1 Ru 0.0000 0.5000 0.0000
Rh1 Rh 0.0000 0.0000 0.2568
Rh2 Rh 0.3333 0.6667 0.5000
# E_form: 0.36 eV/atom
# Relative energy among the computed polymorphs: 164 meV/atom

***

(12)
# LaTbHg | the Alexandria database | PBE | relaxed
data_LaTbHg
_chemical_formula_sum 'La4 Tb4 Hg4'
_space_group_name_H-M_alt 'P n m a'
_space_group_IT_number 62
_cell_length_a 8.2790
_cell_length_b 4.9931
_cell_length_c 8.9993
_cell_angle_alpha 90.00
_cell_angle_beta 90.00
_cell_angle_gamma 90.00
loop_
_space_group_symop_operation_xyz
'x,y,z'
'-x,-y,-z'
'-x+1/2,-y,z+1/2'
'x+1/2,y,-z+1/2'
'x+1/2,-y+1/2,-z+1/2'
'-x+1/2,y+1/2,z+1/2'
'-x,y+1/2,-z'
'x,-y+1/2,z'
loop_
_atom_site_label
_atom_site_type_symbol
_atom_site_fract_x
_atom_site_fract_y
_atom_site_fract_z
La1 La 0.0247 0.2500 0.1676
Tb1 Tb 0.1450 0.2500 0.5757
Hg1 Hg 0.2237 0.7500 0.3878
# E_form: -0.33 eV/atom
# Relative energy among the computed polymorphs: 0 meV/atom

***

(13)
# TaPt2 | the Alexandria database | PBE | relaxed
data_TaPt2
_chemical_formula_sum 'Ta4 Pt8'
_space_group_name_H-M_alt 'C 1 2/m 1'
_space_group_IT_number 12
_cell_length_a 9.0501
_cell_length_b 3.9482
_cell_length_c 5.7370
_cell_angle_alpha 90.00
_cell_angle_beta 108.34
_cell_angle_gamma 90.00
loop_
_space_group_symop_operation_xyz
'x,y,z'
'-x,-y,-z'
'-x,y,-z'
'x,-y,z'
'x+1/2,y+1/2,z'
'-x+1/2,-y+1/2,-z'
'-x+1/2,y+1/2,-z'
'x+1/2,-y+1/2,z'
loop_
_atom_site_label
_atom_site_type_symbol
_atom_site_fract_x
_atom_site_fract_y
_atom_site_fract_z
Ta1 Ta 0.1604 0.0000 0.3155
Pt1 Pt 0.0000 0.5000 0.0000
Pt2 Pt 0.0000 0.5000 0.5000
Pt3 Pt 0.1678 0.0000 0.8225
# E_form: -0.62 eV/atom

***

(14)
# Li2YCd | the Alexandria database | PBE | relaxed
data_Li2YCd
_chemical_formula_sum 'Li2 Y1 Cd1'
_space_group_name_H-M_alt 'P 1 2/m 1'
_space_group_IT_number 10
_cell_length_a 3.2924
_cell_length_b 5.2532
_cell_length_c 5.5124
_cell_angle_alpha 90.00
_cell_angle_beta 93.39
_cell_angle_gamma 90.00
loop_
_space_group_symop_operation_xyz
'x,y,z'
'-x,-y,-z'
'-x,y,-z'
'x,-y,z'
loop_
_atom_site_label
_atom_site_type_symbol
_atom_site_fract_x
_atom_site_fract_y
_atom_site_fract_z
Li1 Li 0.1502 0.0000 0.2668
Y1 Y 0.5000 0.5000 0.0000
Cd1 Cd 0.0000 0.5000 0.5000
# E_form: -0.06 eV/atom
# Relative energy among the computed polymorphs: 51 meV/atom

***

(15)
# MgMn2GaC | the Alexandria database | PBE | relaxed
data_MgMn2GaC
_chemical_formula_sum 'Mg1 Mn2 Ga1 C1'
_space_group_name_H-M_alt 'P 4/m m m'
_space_group_IT_number 123
_space_group_name_Hall '-P 4 2'
_cell_length_a 3.8616
_cell_length_b 3.8616
_cell_length_c 4.2048
_cell_angle_alpha 90.00
_cell_angle_beta 90.00
_cell_angle_gamma 90.00
loop_
_atom_site_label
_atom_site_type_symbol
_atom_site_fract_x
_atom_site_fract_y
_atom_site_fract_z
Mg1 Mg 0.0000 0.0000 0.0000
Mn1 Mn 0.0000 0.5000 0.5000
Ga1 Ga 0.5000 0.5000 0.0000
C1 C 0.0000 0.0000 0.5000
# E_form: 0.04 eV/atom

***

(16)
# Li3Ca2Mg12Al | the Alexandria database | PBE | relaxed
data_Li3Ca2Mg12Al
_chemical_formula_sum 'Li9 Ca6 Mg36 Al3'
_space_group_name_H-M_alt 'R -3 m'
_space_group_IT_number 166
_space_group_name_Hall '-R 3 2"'
_cell_length_a 6.1451
_cell_length_b 6.1451
_cell_length_c 43.9617
_cell_angle_alpha 90.00
_cell_angle_beta 90.00
_cell_angle_gamma 120.00
loop_
_atom_site_label
_atom_site_type_symbol
_atom_site_fract_x
_atom_site_fract_y
_atom_site_fract_z
Li1 Li 0.0000 0.5000 0.0000
Ca1 Ca 0.0000 0.0000 0.1493
Mg1 Mg 0.0008 0.5004 0.8866
Mg2 Mg 0.0072 0.5036 0.6111
Al1 Al 0.0000 0.0000 0.5000
# E_form: 0.12 eV/atom

***

(17)
# TmIrRuO6 | the Alexandria database | PBE | relaxed
data_TmIrRuO6
_chemical_formula_sum 'Tm2 Ir2 Ru2 O12'
_space_group_name_H-M_alt 'P -3 1 c'
_space_group_IT_number 163
_space_group_name_Hall '-P 3 2c'
_cell_length_a 5.2328
_cell_length_b 5.2328
_cell_length_c 8.7784
_cell_angle_alpha 90.00
_cell_angle_beta 90.00
_cell_angle_gamma 120.00
loop_
_atom_site_label
_atom_site_type_symbol
_atom_site_fract_x
_atom_site_fract_y
_atom_site_fract_z
Tm1 Tm 0.3333 0.6667 0.2500
Ir1 Ir 0.3333 0.6667 0.7500
Ru1 Ru 0.0000 0.0000 0.0000
O1 O 0.0259 0.3363 0.6200
# Raw formation energy: -1.48 eV per atom

***

(18)
# KBiNO2 | the Alexandria database | PBE | relaxed
data_KBiNO2
_chemical_formula_sum 'K1 Bi1 N1 O2'
_space_group_name_H-M_alt 'P 4/m m m'
_space_group_IT_number 123
_space_group_name_Hall '-P 4 2'
_cell_length_a 4.4361
_cell_length_b 4.4361
_cell_length_c 4.2732
_cell_angle_alpha 90.00
_cell_angle_beta 90.00
_cell_angle_gamma 90.00
loop_
_atom_site_label
_atom_site_type_symbol
_atom_site_fract_x
_atom_site_fract_y
_atom_site_fract_z
K1 K 0.0000 0.0000 0.0000
Bi1 Bi 0.5000 0.5000 0.5000
N1 N 0.0000 0.0000 0.5000
O1 O 0.0000 0.5000 0.0000
# Raw formation energy: 1.26 eV per atom

***

(19)
# CaTbSn | the Alexandria database | PBE | relaxed
data_CaTbSn
_chemical_formula_sum 'Ca2 Tb2 Sn2'
_space_group_name_H-M_alt 'I 4 m m'
_space_group_IT_number 107
_space_group_name_Hall 'I 4 -2'
_cell_length_a 4.1952
_cell_length_b 4.1952
_cell_length_c 9.8834
_cell_angle_alpha 90.00
_cell_angle_beta 90.00
_cell_angle_gamma 90.00
loop_
_atom_site_label
_atom_site_type_symbol
_atom_site_fract_x
_atom_site_fract_y
_atom_site_fract_z
Ca1 Ca 0.0000 0.0000 0.0000
Tb1 Tb 0.0000 0.0000 0.3202
Sn1 Sn 0.0000 0.0000 0.6643
# E_form: -0.32 eV/atom

***

(20)
# TiAlSe | the Alexandria database | PBE | relaxed
data_TiAlSe
_chemical_formula_sum 'Ti6 Al6 Se6'
_space_group_name_H-M_alt 'R -3 m'
_space_group_IT_number 166
_space_group_name_Hall '-R 3 2"'
_cell_length_a 3.8373
_cell_length_b 3.8373
_cell_length_c 31.0544
_cell_angle_alpha 90.00
_cell_angle_beta 90.00
_cell_angle_gamma 120.00
loop_
_atom_site_label
_atom_site_type_symbol
_atom_site_fract_x
_atom_site_fract_y
_atom_site_fract_z
Ti1 Ti 0.0000 0.0000 0.0669
Al1 Al 0.0000 0.0000 0.3494
Se1 Se 0.0000 0.0000 0.2231
# Raw formation energy: -0.41 eV per atom